First-principles (GGA+U) data for a relaxed TiTlMoO6 crystal, as listed in the Alexandria database.

- total energy (eV/atom) = -7.0447

Cell: 5.228 5.228 5.152 Å, 90.00 90.00 120.00°
Atoms (fractional coordinates):
Ti 0.000 0.000 0.000
Tl 0.333 0.667 0.500
Mo 0.667 0.333 0.000
O 0.337 0.051 0.788
O 0.337 0.286 0.212
O 0.714 0.051 0.212
O 0.714 0.663 0.788
O 0.949 0.286 0.788
O 0.949 0.663 0.212